1.
Compound: Ce4Al16Co3
Source: Alexandria via LeMat-Bulk
Functional: GGA-PBE
Structure: optimized geometry

The structure in POSCAR format:
```
Ce4Al16Co3
1.0
6.0917 0.0000 0.0000
0.0000 6.0917 0.0000
0.0000 0.0000 11.2290
Ce Al Co
4 16 3
direct
0.5000 0.0000 0.8070
0.0000 0.5000 0.1930
0.0000 0.5000 0.8070
0.5000 0.0000 0.1930
0.0000 0.0000 0.7827
0.2767 0.2767 0.0000
0.5000 0.5000 0.8032
0.7233 0.2767 0.0000
0.5000 0.5000 0.1968
0.7233 0.7233 0.0000
0.0000 0.0000 0.2173
0.7492 0.7492 0.6152
0.7492 0.2508 0.3848
0.2508 0.2508 0.6152
0.2508 0.7492 0.3848
0.2767 0.7233 0.0000
0.7492 0.7492 0.3848
0.7492 0.2508 0.6152
0.2508 0.2508 0.3848
0.2508 0.7492 0.6152
0.0000 0.5000 0.5000
0.0000 0.0000 0.0000
0.5000 0.0000 0.5000
```

Output
The calculation puts the energy at -5.0150 eV per atom. Its density of states at the Fermi level is 0.806 states/eV/atom. Its magnetic moment is 0.030 μB per atom.


2.
Compound: Ce2AlCo2
Source: Alexandria via LeMat-Bulk
Functional: GGA-PBE
Structure: optimized geometry

The structure in POSCAR format:
```
Ce2AlCo2
1.0
5.4298 0.3343 0.2945
2.7519 4.6926 0.2945
1.5820 0.9720 7.6664
Ce Al Co
4 2 4
direct
0.5189 0.1832 0.1443
0.8168 0.4811 0.3557
0.4811 0.8168 0.8557
0.1832 0.5189 0.6443
0.1517 0.8483 0.2500
0.8483 0.1517 0.7500
0.7387 0.9998 0.5166
0.0002 0.2613 0.9834
0.2613 0.0002 0.4834
0.9998 0.7387 0.0166
```

Output
The calculation puts the energy at -6.3307 eV per atom. Its density of states at the Fermi level is 1.226 states/eV/atom. Its magnetic moment is 0.000 μB per atom.


3.
Compound: CeAl20Co2
Source: Alexandria via LeMat-Bulk
Functional: GGA-PBE
Structure: optimized geometry

The structure in POSCAR format:
```
CeAl20Co2
1.0
-9.3291 0.6165 4.0205
-7.9207 -4.1472 -4.8620
-4.4829 -8.3290 3.7560
Ce Al Co
2 40 4
direct
0.2500 0.2500 0.2500
0.0000 0.0000 0.0000
0.1250 0.1250 0.1250
0.6250 0.1250 0.1250
0.1250 0.6250 0.1250
0.1250 0.1250 0.6250
0.6344 0.3656 0.6344
0.8844 0.6156 0.6156
0.6156 0.8844 0.8844
0.8844 0.6156 0.8844
0.6156 0.6156 0.8844
0.8844 0.8844 0.6156
0.6344 0.6344 0.3656
0.3656 0.6344 0.6344
0.6344 0.3656 0.3656
0.3656 0.3656 0.6344
0.6156 0.8844 0.6156
0.3656 0.6344 0.3656
0.3354 0.7983 0.7983
0.1820 0.4517 0.9146
0.4517 0.1820 0.4517
0.4517 0.4517 0.1820
0.1820 0.9146 0.4517
0.4517 0.9146 0.1820
0.4517 0.1820 0.9146
0.7983 0.3354 0.7983
0.7983 0.7983 0.3354
0.3354 0.0680 0.7983
0.3354 0.7983 0.0680
0.7983 0.0680 0.7983
0.0680 0.3354 0.7983
0.0680 0.7983 0.3354
0.7983 0.7983 0.0680
0.9146 0.1820 0.4517
0.9146 0.4517 0.1820
0.1820 0.4517 0.4517
0.9146 0.4517 0.4517
0.4517 0.9146 0.4517
0.4517 0.4517 0.9146
0.7983 0.3354 0.0680
0.7983 0.0680 0.3354
0.0680 0.7983 0.7983
0.6250 0.6250 0.1250
0.6250 0.1250 0.6250
0.6250 0.6250 0.6250
0.1250 0.6250 0.6250
```

Output
The calculation puts the energy at -4.2968 eV per atom. Its density of states at the Fermi level is 0.575 states/eV/atom. Its magnetic moment is 0.000 μB per atom.


4.
Compound: Ce2AlCo
Source: Alexandria via LeMat-Bulk
Functional: GGA-PBE
Structure: optimized geometry

The structure in POSCAR format:
```
Ce2AlCo
1.0
-2.6641 -0.9314 -1.0104
-1.6828 -1.8288 1.6762
-6.1242 7.5358 4.7539
Co Al Ce
1 1 2
direct
0.5000 0.5000 0.5000
0.0000 0.0000 0.0000
0.0972 0.0972 0.7084
0.9028 0.9028 0.2916
```

Output
The calculation puts the excess energy over the best structure of this formula in the dataset at 0.524 eV per atom. The calculation puts the energy at -5.3970 eV per atom. Its density of states at the Fermi level is 1.795 states/eV/atom. Its magnetic moment is 0.124 μB per atom.


5.
Compound: CeAlCo
Source: Alexandria via LeMat-Bulk
Functional: GGA-PBE
Structure: optimized geometry

The structure in POSCAR format:
```
CeAlCo
1.0
4.2968 0.0739 0.1000
2.0575 5.8348 -0.3283
2.0305 1.0112 4.3642
Co Al Ce
2 2 2
direct
0.1768 0.3052 0.3412
0.8232 0.6948 0.6588
0.8177 0.0730 0.2915
0.1823 0.9270 0.7085
0.5777 0.6682 0.1770
0.4223 0.3318 0.8230
```

Output
The calculation puts the energy at -6.0522 eV per atom. Its density of states at the Fermi level is 0.541 states/eV/atom. Its magnetic moment is 0.000 μB per atom.


6.
Compound: Ce2AlCo
Source: Alexandria via LeMat-Bulk
Functional: GGA-PBE
Structure: optimized geometry

The structure in POSCAR format:
```
Ce2AlCo
1.0
-0.7444 -1.6685 5.6542
-0.9205 -5.6750 -1.7959
9.8262 -1.8322 0.7529
Ce Al Co
8 4 4
direct
0.7528 0.9490 0.8985
0.2472 0.0510 0.1015
0.2528 0.5510 0.6015
0.7472 0.4490 0.3985
0.7527 0.4490 0.1015
0.2473 0.5510 0.8985
0.2527 0.0510 0.3985
0.7473 0.9490 0.6015
0.2500 0.5317 0.2500
0.7500 0.4683 0.7500
0.7500 0.9683 0.2500
0.2500 0.0317 0.7500
0.9999 0.2500 0.6142
0.0001 0.7500 0.3858
0.4999 0.2500 0.8858
0.5001 0.7500 0.1142
```

Output
The calculation puts the excess energy over the best structure of this formula in the dataset at 0.000 eV per atom. The calculation puts the energy at -5.9208 eV per atom. Its density of states at the Fermi level is 1.789 states/eV/atom. Its magnetic moment is 0.266 μB per atom.


7.
Compound: CeAlCo
Source: Alexandria via LeMat-Bulk
Functional: GGA-PBE
Structure: optimized geometry

The structure in POSCAR format:
```
CeAlCo
1.0
2.9900 0.0000 0.0000
0.0000 2.9900 0.0000
-1.4950 -1.4950 5.7715
Co Al Ce
1 1 1
direct
0.6861 0.6861 0.3721
0.2973 0.2973 0.5946
0.0166 0.0166 0.0332
```

Output
The calculation puts the energy at -5.9263 eV per atom. Its density of states at the Fermi level is 1.314 states/eV/atom. Its magnetic moment is 0.127 μB per atom.


8.
Compound: Ce7Al2Co2
Source: Alexandria via LeMat-Bulk
Functional: GGA-PBE
Structure: optimized geometry

The structure in POSCAR format:
```
Ce7Al2Co2
1.0
6.4961 0.2483 -0.9154
0.2365 6.5985 -0.2165
-1.3186 -0.2530 6.4262
Ce Al Co
7 2 2
direct
0.0137 0.2728 0.4852
0.4852 0.7272 0.0137
0.9863 0.7272 0.5148
0.5148 0.2728 0.9863
0.0000 0.0000 0.0000
0.5256 0.7808 0.4744
0.4744 0.2192 0.5256
0.8306 0.5000 0.8306
0.1694 0.5000 0.1694
0.7331 0.0293 0.2669
0.2669 0.9707 0.7331
```

Output
The calculation puts the energy at -5.8357 eV per atom. Its density of states at the Fermi level is 2.206 states/eV/atom. Its magnetic moment is 0.103 μB per atom.


Number 1: energy of formation from the pure elements -0.45 eV per atom. Number 2: energy of formation from the pure elements -0.37 eV per atom. Number 3: energy of formation from the pure elements -0.17 eV per atom. Number 4: energy of formation from the pure elements 0.28 eV per atom. Number 5: energy of formation from the pure elements -0.46 eV per atom. Number 6: energy of formation from the pure elements -0.24 eV per atom. Number 7: energy of formation from the pure elements -0.33 eV per atom. Number 8: energy of formation from the pure elements -0.09 eV per atom.